# Ba3SrCo4O12

Crystalline Ba3SrCo4O12 at its relaxed geometry (PBE+U, the Alexandria database).

a b c (Å): 4.907 5.685 9.767
angles (deg): 89.99 89.04 89.94
Space group P1 (No. 1)
Asymmetric unit:
1 Ba 0.000 0.000 0.000 x1
2 Ba 0.009 0.500 0.498 x1
3 Ba 0.503 0.000 0.668 x1
4 Sr 0.491 0.500 0.164 x1
5 Co 0.184 0.500 0.838 x1
6 Co 0.332 0.000 0.330 x1
7 Co 0.685 0.500 0.838 x1
8 Co 0.832 0.000 0.330 x1
9 O 0.066 0.000 0.478 x1
10 O 0.093 0.221 0.256 x1
11 O 0.097 0.779 0.256 x1
12 O 0.426 0.717 0.914 x1
13 O 0.427 0.283 0.914 x1
14 O 0.448 0.500 0.691 x1
15 O 0.574 0.222 0.402 x1
16 O 0.578 0.778 0.402 x1
17 O 0.595 0.000 0.184 x1
18 O 0.912 0.500 0.986 x1
19 O 0.942 0.719 0.763 x1
20 O 0.943 0.281 0.763 x1

Computed properties:
Density   5.653 g cm⁻³
Calculated volume   13.62 Å³ per atom
DFT total energy   -6.05 eV/atom